BaCo2As2O7 | PBE+U | relaxed

The space group is R32 (No. 155, hexagonal axes) and the conventional cell measures 5.5860, 5.5860 and 27.1405 Å, with angles of 90.00, 90.00 and 120.00 degrees. Symmetry generates all atoms from Ba at (0.0000, 0.0000, 0.0000), Co at (0.0000, 0.0000, 0.2568), As at (0.0000, 0.0000, 0.4273), O at (0.0000, 0.0000, 0.5000) and O at (0.0299, 0.4045, 0.0625).

The calculation puts the total energy at -216.41 eV/cell. The magnetic moment is 18.115 μB per cell.